# 1
## TbTeAuO (PBE)

Data for crystalline TbTeAuO at its relaxed geometry.

abc: 4.035 4.035 10.059
angles: 90.00 90.00 90.00
Space group P4mm (No. 99)
Symmetry-distinct sites (fractional):
1 Tb 0.000 0.000 0.000 (multiplicity 1)
2 Tb 0.500 0.500 0.215 (multiplicity 1)
3 Te 0.000 0.000 0.394 (multiplicity 1)
4 Te 0.500 0.500 0.822 (multiplicity 1)
5 Au 0.000 0.500 0.608 (multiplicity 2)
6 O 0.000 0.500 0.108 (multiplicity 2)

Output
Total DFT energy (no corrections)   -5.7567 eV per atom
Total magnetization   0.00 μB per cell
ΔE to the lowest computed polymorph   0.16 eV per formula unit


# 2
## TbTeAuO (PBE)

Data for crystalline TbTeAuO at its relaxed geometry.

abc: 4.037 4.037 10.046
angles: 90.00 90.00 90.00
Space group P4/nmm (No. 129, origin choice 2)
Symmetry-distinct sites (fractional):
1 Tb 0.250 0.250 0.108 (multiplicity 2)
2 Te 0.250 0.250 0.714 (multiplicity 2)
3 Au 0.250 0.750 0.500 (multiplicity 2)
4 O 0.250 0.750 0.000 (multiplicity 2)

Output
Total DFT energy (no corrections)   -5.7565 eV per atom
Total magnetization   0.00 μB per cell
ΔE to the lowest computed polymorph   0.16 eV per formula unit


# 3
## TbTeAuO (PBE)

Data for crystalline TbTeAuO at its relaxed geometry.

abc: 10.055 5.707 5.707
angles: 90.00 90.00 90.00
Space group Pbcm (No. 57)
Symmetry-distinct sites (fractional):
1 Tb 0.108 0.000 0.250 (multiplicity 4)
2 Te 0.286 0.001 0.750 (multiplicity 4)
3 Au 0.499 0.750 0.000 (multiplicity 4)
4 O 0.000 0.250 0.000 (multiplicity 4)

Output
Total DFT energy (no corrections)   -5.7567 eV per atom
Total magnetization   0.00 μB per cell
ΔE to the lowest computed polymorph   0.16 eV per formula unit


# 4
## TbTeAuO (PBE)

Data for crystalline TbTeAuO at its relaxed geometry.

abc: 4.036 4.036 10.057
angles: 90.00 90.00 90.00
Space group P4/nmm (No. 129, origin choice 2)
Symmetry-distinct sites (fractional):
1 Tb 0.250 0.250 0.108 (multiplicity 2)
2 Te 0.250 0.250 0.714 (multiplicity 2)
3 Au 0.250 0.750 0.500 (multiplicity 2)
4 O 0.250 0.750 0.000 (multiplicity 2)

Output
Total DFT energy (no corrections)   -5.7567 eV per atom
Total magnetization   0.00 μB per cell
ΔE to the lowest computed polymorph   0.16 eV per formula unit